Below is crystalline LaAlTe2 at its relaxed geometry, with properties calculated at the PBE level.

```
data_LaAlTe2
_chemical_formula_sum 'La4 Al4 Te8'
_cell_length_a 6.9002
_cell_length_b 6.9002
_cell_length_c 14.8867
_cell_angle_alpha 90.00
_cell_angle_beta 90.00
_cell_angle_gamma 90.00
_symmetry_space_group_name_H-M 'I -4 2 d'
_symmetry_Int_Tables_number 122
_symmetry_space_group_name_Hall 'I -4 2bw'
loop_
_atom_site_label
_atom_site_fract_x
_atom_site_fract_y
_atom_site_fract_z
La1 0.0000 0.0000 0.0000
Al1 0.0000 0.0000 0.5000
Te1 0.2354 0.2500 0.6250
```

Total DFT energy (no corrections) = -4.283 eV per atom
Uncorrected formation energy = -0.545 eV per atom
ρ = 3.95 g/cm3
N(E_F) = 0.05 states/eV per atom
Total magnetization = 0.00 μB per formula unit


Below is crystalline Nd4Eu2O at its relaxed geometry, with properties calculated at the PBE level.

```
data_Nd4Eu2O
_chemical_formula_sum 'Nd8 Eu4 O2'
_cell_length_a 5.0268
_cell_length_b 5.0268
_cell_length_c 18.3388
_cell_angle_alpha 90.00
_cell_angle_beta 90.00
_cell_angle_gamma 90.00
_symmetry_space_group_name_H-M 'I 4/m m m'
_symmetry_Int_Tables_number 139
_symmetry_space_group_name_Hall '-I 4 2'
loop_
_atom_site_label
_atom_site_fract_x
_atom_site_fract_y
_atom_site_fract_z
Nd1 0.0000 0.0000 0.1330
Nd2 0.0000 0.5000 0.0000
Eu1 0.0000 0.0000 0.3338
O1 0.0000 0.0000 0.0000
```

Total DFT energy (no corrections) = -6.981 eV per atom
Uncorrected formation energy = -0.613 eV per atom
ρ = 6.43 g/cm3
N(E_F) = 2.52 states/eV per atom
Total magnetization = 15.04 μB per formula unit


Below is crystalline Pm4Sb3Pb at its relaxed geometry, with properties calculated at the PBE level.

```
data_Pm4Sb3Pb
_chemical_formula_sum 'Pm4 Sb3 Pb1'
_cell_length_a 6.3707
_cell_length_b 6.3707
_cell_length_c 6.3707
_cell_angle_alpha 90.00
_cell_angle_beta 90.00
_cell_angle_gamma 90.00
_symmetry_space_group_name_H-M 'P m -3 m'
_symmetry_Int_Tables_number 221
_symmetry_space_group_name_Hall '-P 4 2 3'
loop_
_atom_site_label
_atom_site_fract_x
_atom_site_fract_y
_atom_site_fract_z
Pm1 0.0000 0.0000 0.0000
Pm2 0.0000 0.5000 0.5000
Sb1 0.0000 0.0000 0.5000
Pb1 0.5000 0.5000 0.5000
```

Total DFT energy (no corrections) = -5.369 eV per atom
Uncorrected formation energy = -0.984 eV per atom
ρ = 7.40 g/cm3
N(E_F) = 0.66 states/eV per atom
Total magnetization = 0.00 μB per formula unit


Below is crystalline Mg2MnAu8 at its relaxed geometry, with properties calculated at the PBE level.

```
data_Mg2MnAu8
_chemical_formula_sum 'Mg4 Mn2 Au16'
_cell_length_a 14.9298
_cell_length_b 4.4790
_cell_length_c 6.6878
_cell_angle_alpha 90.00
_cell_angle_beta 116.56
_cell_angle_gamma 90.00
_symmetry_space_group_name_H-M 'C 1 2/m 1'
_symmetry_Int_Tables_number 12
loop_
_symmetry_equiv_pos_as_xyz
'x,y,z'
'-x,-y,-z'
'-x,y,-z'
'x,-y,z'
'x+1/2,y+1/2,z'
'-x+1/2,-y+1/2,-z'
'-x+1/2,y+1/2,-z'
'x+1/2,-y+1/2,z'
loop_
_atom_site_label
_atom_site_fract_x
_atom_site_fract_y
_atom_site_fract_z
Mg1 0.1968 0.0000 0.1958
Mn1 0.0000 0.5000 0.5000
Au1 0.0003 0.0000 0.2182
Au2 0.1412 0.5000 0.9254
Au3 0.1418 0.5000 0.3580
Au4 0.1659 0.0000 0.6662
```

Formation energy from the elements = -0.26 eV/atom
Total DFT energy (no corrections) = -3.767 eV per atom
ρ = 13.94 g/cm3
N(E_F) = 0.35 states/eV per atom
Total magnetization = 4.38 μB per formula unit


Below is crystalline Pu2CdPd5 at its relaxed geometry, with properties calculated at the PBE level.

```
data_Pu2CdPd5
_chemical_formula_sum 'Pu4 Cd2 Pd10'
_cell_length_a 6.3278
_cell_length_b 6.3278
_cell_length_c 7.5803
_cell_angle_alpha 90.00
_cell_angle_beta 90.00
_cell_angle_gamma 90.00
_symmetry_space_group_name_H-M 'I 4 m m'
_symmetry_Int_Tables_number 107
_symmetry_space_group_name_Hall 'I 4 -2'
loop_
_atom_site_label
_atom_site_fract_x
_atom_site_fract_y
_atom_site_fract_z
Pu1 0.0000 0.5000 0.0000
Cd1 0.0000 0.0000 0.4342
Pd1 0.0000 0.0000 0.0256
Pd2 0.2246 0.2246 0.7441
```

Formation energy from the elements = -0.44 eV/atom
Total DFT energy (no corrections) = -7.383 eV per atom
ρ = 12.39 g/cm3
N(E_F) = 3.50 states/eV per atom
Total magnetization = 10.64 μB per formula unit


Below is crystalline TlZn2RuF at its relaxed geometry, with properties calculated at the PBE level.

```
data_TlZn2RuF
_chemical_formula_sum 'Tl1 Zn2 Ru1 F1'
_cell_length_a 4.3341
_cell_length_b 4.3341
_cell_length_c 4.4983
_cell_angle_alpha 90.00
_cell_angle_beta 90.00
_cell_angle_gamma 90.00
_symmetry_space_group_name_H-M 'P 4/m m m'
_symmetry_Int_Tables_number 123
_symmetry_space_group_name_Hall '-P 4 2'
loop_
_atom_site_label
_atom_site_fract_x
_atom_site_fract_y
_atom_site_fract_z
Tl1 0.0000 0.0000 0.0000
Zn1 0.0000 0.5000 0.5000
Ru1 0.5000 0.5000 0.0000
F1 0.5000 0.5000 0.5000
```

Total DFT energy (no corrections) = -3.049 eV per atom
Uncorrected formation energy = 0.164 eV per atom
ρ = 8.95 g/cm3
N(E_F) = 0.55 states/eV per atom
Total magnetization = 0.00 μB per formula unit


Below is crystalline TmZr4Tl5 at its relaxed geometry, with properties calculated at the PBE level.

```
data_TmZr4Tl5
_chemical_formula_sum 'Tm1 Zr4 Tl5'
_cell_length_a 3.2535
_cell_length_b 3.2535
_cell_length_c 22.1443
_cell_angle_alpha 90.00
_cell_angle_beta 90.00
_cell_angle_gamma 90.00
_symmetry_space_group_name_H-M 'P 4/m m m'
_symmetry_Int_Tables_number 123
_symmetry_space_group_name_Hall '-P 4 2'
loop_
_atom_site_label
_atom_site_fract_x
_atom_site_fract_y
_atom_site_fract_z
Tm1 0.0000 0.0000 0.0000
Zr1 0.0000 0.0000 0.2050
Zr2 0.0000 0.0000 0.4014
Tl1 0.5000 0.5000 0.1049
Tl2 0.5000 0.5000 0.3031
Tl3 0.5000 0.5000 0.5000
```

Formation energy from the elements = -0.10 eV/atom
Total DFT energy (no corrections) = -5.149 eV per atom
ρ = 11.02 g/cm3
N(E_F) = 0.90 states/eV per atom
Total magnetization = 0.50 μB per formula unit


Below is crystalline KCd2Ag at its relaxed geometry, with properties calculated at the PBE level.

```
data_KCd2Ag
_chemical_formula_sum 'K8 Cd16 Ag8'
_cell_length_a 17.8053
_cell_length_b 7.9372
_cell_length_c 6.2700
_cell_angle_alpha 90.00
_cell_angle_beta 90.00
_cell_angle_gamma 90.00
_symmetry_space_group_name_H-M 'P n m a'
_symmetry_Int_Tables_number 62
loop_
_symmetry_equiv_pos_as_xyz
'x,y,z'
'-x,-y,-z'
'-x+1/2,-y,z+1/2'
'x+1/2,y,-z+1/2'
'x+1/2,-y+1/2,-z+1/2'
'-x+1/2,y+1/2,z+1/2'
'-x,y+1/2,-z'
'x,-y+1/2,z'
loop_
_atom_site_label
_atom_site_fract_x
_atom_site_fract_y
_atom_site_fract_z
K1 0.1079 0.2500 0.2317
K2 0.1406 0.7500 0.4546
Cd1 0.0379 0.0611 0.7409
Cd2 0.2111 0.5593 0.9343
Ag1 0.0674 0.7500 0.9715
Ag2 0.1853 0.2500 0.7096
```

Formation energy from the elements = -0.06 eV/atom
Total DFT energy (no corrections) = -1.508 eV per atom
ρ = 5.57 g/cm3
N(E_F) = 0.47 states/eV per atom
Total magnetization = 0.00 μB per formula unit